Entry 1:
## In2RePdO (PBE-GGA)

Data for crystalline In2RePdO at its relaxed geometry.

Computed properties:
Spin magnetization ... 0.99 μB/atom
DFT total energy ... -4.41 eV/atom
Formation energy from raw total energies ... 6.0 eV per formula unit

The structure in POSCAR format:
```
In2RePdO
1.0
5.0986 0.0000 0.0000
0.0000 5.0483 0.0000
0.0000 0.0000 5.0986
In Re O Pd
2 1 1 1
direct
0.5000 0.0000 0.0000 In
0.0000 0.0000 0.5000 In
0.0000 0.5000 0.0000 Re
0.5000 0.5000 0.5000 O
0.0000 0.0000 0.0000 Pd
```

Entry 2:
## InPd2RhO (PBE-GGA)

Data for crystalline InPd2RhO at its relaxed geometry.

Computed properties:
Spin magnetization ... 0.00 μB/atom
DFT total energy ... -5.17 eV/atom
Formation energy from raw total energies ... -0.4 eV per formula unit

The structure in POSCAR format:
```
InPd2RhO
1.0
4.3357 0.0000 0.0000
0.0000 4.1022 0.0000
0.0000 0.0000 4.3357
Rh In O Pd
1 1 1 2
direct
0.0000 0.5000 0.0000 Rh
0.5000 0.5000 0.5000 In
0.0000 0.0000 0.0000 O
0.5000 0.0000 0.0000 Pd
0.0000 0.0000 0.5000 Pd
```

Entry 3:
## InPdRuO6 (PBE-GGA)

Data for crystalline InPdRuO6 at its relaxed geometry.

Computed properties:
Spin magnetization ... 0.00 μB/atom
DFT total energy ... -6.03 eV/atom
Formation energy from raw total energies ... -7.3 eV per formula unit

The structure in POSCAR format:
```
InPdRuO6
1.0
-3.1123 3.4646 -0.5761
-1.6413 -2.1153 -3.8540
-6.4125 -4.8625 5.3998
In O Pd Ru
2 12 2 2
direct
0.0000 0.0000 0.0004 In
0.5000 0.5000 0.5004 In
0.3190 0.3190 0.0050 O
0.3071 0.3071 0.3241 O
0.8190 0.1810 0.5050 O
0.1810 0.8190 0.5050 O
0.2107 0.7893 0.1704 O
0.7893 0.2107 0.1704 O
0.1929 0.8071 0.8241 O
0.6810 0.6810 0.0050 O
0.2893 0.2893 0.6704 O
0.7107 0.7107 0.6704 O
0.8071 0.1929 0.8241 O
0.6929 0.6929 0.3241 O
0.5000 0.5000 0.8319 Pd
0.0000 0.0000 0.3319 Pd
0.5000 0.5000 0.1685 Ru
0.0000 0.0000 0.6685 Ru
```

Summary of ρ in g/cm³
6.811 9.616 6.509
(order as listed above)